[1]
# PBE RbHoTe, relaxed
# - energy above the most stable polymorph in this dataset (meV per atom) = 0
data_RbHoTe
_chemical_formula_sum 'Rb4 Ho4 Te4'
_cell_length_a 7.687
_cell_length_b 7.687
_cell_length_c 7.687
_cell_angle_alpha 90.00
_cell_angle_beta 90.00
_cell_angle_gamma 90.00
_symmetry_space_group_name_H-M 'F -4 3 m'
_symmetry_Int_Tables_number 216
_symmetry_space_group_name_Hall 'F -4 2 3'
loop_
_atom_site_label
_atom_site_type_symbol
_atom_site_fract_x
_atom_site_fract_y
_atom_site_fract_z
_atom_site_occupancy
Rb1 Rb 0.000 0.000 0.000 1
Ho1 Ho 0.000 0.000 0.500 1
Te1 Te 0.250 0.250 0.750 1


[2]
# PBE NdGe2Pd4, relaxed
# - uncorrected energy (eV per atom) = -5.6967
data_NdGe2Pd4
_chemical_formula_sum 'Nd2 Ge4 Pd8'
_cell_length_a 7.950
_cell_length_b 7.950
_cell_length_c 3.956
_cell_angle_alpha 90.00
_cell_angle_beta 90.00
_cell_angle_gamma 90.00
_symmetry_space_group_name_H-M 'P 42/m n m'
_symmetry_Int_Tables_number 136
_symmetry_space_group_name_Hall '-P 4n 2n'
loop_
_atom_site_label
_atom_site_type_symbol
_atom_site_fract_x
_atom_site_fract_y
_atom_site_fract_z
_atom_site_occupancy
Nd1 Nd 0.000 0.000 0.000 1
Ge1 Ge 0.221 0.221 0.500 1
Pd1 Pd 0.083 0.667 0.500 1